# 1
Na2GeB2Pd5: optimized geometry, PBE-GGA.

The structure belongs to space group P4/mbm (No. 127); the cell edges are 9.722, 9.722 and 3.029 Å and the angles 90.00°, 90.00° and 90.00°. The inequivalent atoms are Na at (0.177, 0.323, 0.000), Ge at (0.000, 0.000, 0.000), B at (0.123, 0.623, 0.000), Pd at (0.000, 0.500, 0.500) and Pd at (0.069, 0.779, 0.500).

The total moment is 0.00 μB per formula unit. Its formation enthalpy at 0 K is -0.284 eV per atom. The calculation puts the total DFT energy (no corrections) at -4.941 eV/atom.

---

# 2
MnInI2: optimized geometry, PBE-GGA.

The structure belongs to space group Fm-3m (No. 225); the cell edges are 7.989, 7.989 and 7.989 Å and the angles 90.00°, 90.00° and 90.00°. The inequivalent atoms are Mn at (0.000, 0.000, 0.000), In at (0.000, 0.000, 0.500) and I at (0.250, 0.250, 0.250).

The calculation puts the excess energy over the best structure of this formula in the dataset at 0 meV/atom. The total moment is 5.21 μB per formula unit. As for the raw formation energy: 0.20 eV/atom. The calculation puts the total DFT energy (no corrections) at -3.553 eV/atom.

---

# 3
HgBiS2Cl: optimized geometry, PBE-GGA.

The structure belongs to space group P4/mmm (No. 123); the cell edges are 5.283, 5.283 and 5.381 Å and the angles 90.00°, 90.00° and 90.00°. The inequivalent atoms are Hg at (0.000, 0.000, 0.000), Bi at (0.500, 0.500, 0.500), S at (0.000, 0.500, 0.500) and Cl at (0.500, 0.500, 0.000).

The calculation puts the excess energy over the best structure of this formula in the dataset at 480 meV/atom. The total moment is 0.25 μB per formula unit. As for the raw formation energy: 0.16 eV/atom. The calculation puts the total DFT energy (no corrections) at -2.698 eV/atom.

---

# 4
MgUIr2: optimized geometry, PBE-GGA.

The structure belongs to space group P2/c (No. 13); the cell edges are 5.538, 5.207 and 11.455 Å and the angles 90.00°, 113.20° and 90.00°. The inequivalent atoms are Mg at (0.034, 0.249, 0.111), U at (0.312, 0.250, 0.895), Ir at (0.225, 0.251, 0.655) and Ir at (0.440, 0.250, 0.358).

The total moment is 0.52 μB per formula unit. Its formation enthalpy at 0 K is -0.368 eV per atom. The calculation puts the total DFT energy (no corrections) at -8.019 eV/atom.